1.
## VFe2SbMo (PBE)

Data for a relaxed structure of VFe2SbMo.

Summary:
V: 82.8 Å³/cell
size of the total moment: 0.00 μB/f.u.
symmetry: P4/mmm, No. 123
crystal system: tetragonal
density: 7.6 g/cm³
E_tot: -7.060 eV/atom
raw formation energy: 1140 meV/atom

```
VFe2SbMo
1.0
4.235 0.000 0.000
0.000 4.235 0.000
0.000 0.000 4.615
V Fe Sb Mo
1 2 1 1
Cartesian
0.000 0.000 0.000
0.000 2.118 0.000
2.118 0.000 0.000
2.118 2.118 2.307
0.000 0.000 2.307
```

2.
## CeTmSe3 (PBE)

Data for a relaxed structure of CeTmSe3.

Summary:
V: 606.0 Å³/cell
size of the total moment: 1.00 μB/f.u.
symmetry: P2_1/c, No. 14
crystal system: monoclinic
E above lowest polymorph: 103 meV per atom
density: 6.0 g/cm³
E_tot: -5.906 eV/atom
raw formation energy: -1734 meV/atom

```
CeTmSe3
1.0
9.398 0.000 0.000
0.000 7.916 0.000
-4.034 0.000 8.146
Ce Tm Se
4 4 12
Cartesian
0.833 1.749 0.382
-1.184 2.209 4.455
6.548 5.707 3.691
4.531 6.167 7.764
-0.788 4.986 7.429
1.229 6.888 3.356
4.135 1.028 4.789
6.152 2.930 0.717
-2.791 0.082 5.756
-0.774 3.876 1.683
-0.122 5.031 4.849
1.895 6.842 0.776
1.687 1.661 3.606
-0.330 2.297 7.678
5.694 5.618 0.467
3.677 6.255 4.540
3.469 1.073 7.370
5.486 2.884 3.297
6.138 4.040 6.463
8.155 7.833 2.390
```

Q: Look up the V of the second one.
A: 606.0 Å³/cell

Q: Which formula does entry 2 have?
A: CeTmSe3

Q: Among the records above, which one has the lowest size of the total moment?
A: VFe2SbMo

Q: Look up the size of the total moment of the second one.
A: 1.00 μB/f.u.